First-principles (PBE+U) data for a geometry-optimized MnInTe2O8 structure, as listed in Alexandria via LeMat-Bulk.

```
MnInTe2O8
1.0
-0.6657 -5.6416 -2.2164
5.3244 2.9082 -0.6136
1.7982 -2.2161 5.1006
Mn In Te O
1 1 2 8
Direct
0.0000 0.0000 0.5000
0.0000 0.0000 0.0000
0.6667 0.3333 0.3173
0.3333 0.6667 0.6827
0.8568 0.1432 0.2716
0.8568 0.7136 0.2716
0.2864 0.1432 0.2716
0.7136 0.8568 0.7284
0.3333 0.6667 0.3742
0.6667 0.3333 0.6258
0.1432 0.8568 0.7284
0.1432 0.2864 0.7284
```

Results
- energy (eV/atom) = -5.62
- total magnetic moment (μB per cell) = 3.52